No. 1
Here is an optimized crystal structure of TmTiBe2Pt5 from Alexandria via LeMat-Bulk. Energies are from PBE.

Computed properties:
V: 139.0 Å³ per cell
energy of formation from the pure elements: -6.8 eV/f.u.

Cell lengths 4.3762, 4.3762, 7.2556 Å; angles 90.00, 90.00, 90.00 degrees
Space group P4/mmm (No. 123)
Asymmetric unit:
Tm (0.0000, 0.0000, 0.0000) x1
Ti (0.0000, 0.0000, 0.5000) x1
Be (0.5000, 0.5000, 0.3405) x2
Pt (0.0000, 0.5000, 0.2803) x4
Pt (0.5000, 0.5000, 0.0000) x1

***

No. 2
Here is an optimized crystal structure of BeRuBr2 from Alexandria via LeMat-Bulk. Energies are from PBE.

Computed properties:
V: 285.8 Å³ per cell

Cell lengths 6.5868, 6.5868, 6.5868 Å; angles 90.00, 90.00, 90.00 degrees
Space group Fm-3m (No. 225)
Asymmetric unit:
Be (0.0000, 0.0000, 0.0000) x4
Ru (0.0000, 0.0000, 0.5000) x4
Br (0.2500, 0.2500, 0.2500) x8

***

No. 3
Here is an optimized crystal structure of La16Co3Ir5 from Alexandria via LeMat-Bulk. Energies are from PBE.

Computed properties:
V: 1588.8 Å³ per cell
energy of formation from the pure elements: -10.0 eV/f.u.

Cell lengths 14.3168, 8.2706, 13.4182 Å; angles 90.00, 90.09, 90.00 degrees
Space group Cm (No. 8)
Asymmetric unit:
La (0.0000, 0.0000, 0.0000) x2
La (0.0003, 0.0000, 0.4977) x2
La (0.0186, 0.5000, 0.4846) x2
La (0.0844, 0.2490, 0.2283) x4
La (0.1713, 0.0000, 0.7327) x2
La (0.1780, 0.5000, 0.7239) x2
La (0.2529, 0.2694, 0.4854) x4
La (0.2651, 0.2342, 0.9881) x4
La (0.3432, 0.0000, 0.2211) x2
La (0.3433, 0.5000, 0.2249) x2
La (0.4213, 0.2577, 0.7280) x4
La (0.4952, 0.0000, 0.9891) x2
Co (0.3391, 0.5000, 0.6084) x2
Co (0.4227, 0.2498, 0.1096) x4
Ir (0.0898, 0.2485, 0.6113) x4
Ir (0.1711, 0.0000, 0.1115) x2
Ir (0.1742, 0.5000, 0.3462) x2
Ir (0.3417, 0.0000, 0.8496) x2

***

No. 4
Here is an optimized crystal structure of La2RuBr from Alexandria via LeMat-Bulk. Energies are from PBE.

Computed properties:
V: 383.8 Å³ per cell

Cell lengths 7.2669, 7.2669, 7.2669 Å; angles 90.00, 90.00, 90.00 degrees
Space group F-43m (No. 216)
Asymmetric unit:
La (0.0000, 0.0000, 0.0000) x4
La (0.2500, 0.2500, 0.2500) x4
Ru (0.2500, 0.2500, 0.7500) x4
Br (0.0000, 0.0000, 0.5000) x4

***

No. 5
Here is an optimized crystal structure of Be2Cu2Si from Alexandria via LeMat-Bulk. Energies are from PBE.

Computed properties:
V: 110.3 Å³ per cell

Cell lengths 6.5954, 6.5954, 2.5366 Å; angles 90.00, 90.00, 90.00 degrees
Space group P4/mbm (No. 127)
Asymmetric unit:
Be (0.1670, 0.3330, 0.0000) x4
Cu (0.1322, 0.6322, 0.5000) x4
Si (0.0000, 0.0000, 0.5000) x2

***

No. 6
Here is an optimized crystal structure of ReAu2Se from Alexandria via LeMat-Bulk. Energies are from PBE.

Computed properties:
V: 139.8 Å³ per cell

Cell lengths 5.6789, 9.0565, 2.7173 Å; angles 90.00, 90.00, 90.00 degrees
Space group Cmmm (No. 65)
Asymmetric unit:
Re (0.0000, 0.0000, 0.0000) x2
Au (0.2500, 0.2500, 0.5000) x4
Se (0.0000, 0.5000, 0.0000) x2

***

No. 7
Here is an optimized crystal structure of InCu2F8 from Alexandria via LeMat-Bulk. Energies are from PBE.

Computed properties:
V: 143.6 Å³ per cell

Cell lengths 6.5262, 6.5262, 3.8926 Å; angles 90.00, 90.00, 120.00 degrees
Space group P-3 (No. 147)
Asymmetric unit:
In (0.0000, 0.0000, 0.0000) x1
Cu (0.3333, 0.6667, 0.7518) x2
F (0.1628, 0.3273, 0.7387) x6
F (0.3333, 0.6667, 0.2492) x2

***

No. 8
Here is an optimized crystal structure of Pu2PbO7 from Alexandria via LeMat-Bulk. Energies are from PBE.

Computed properties:
V: 408.0 Å³ per cell

Cell lengths 3.8561, 3.8561, 31.6817 Å; angles 90.00, 90.00, 120.00 degrees
Space group R-3m (No. 166, hexagonal axes)
Asymmetric unit:
Pu (0.0000, 0.0000, 0.0647) x6
Pb (0.0000, 0.0000, 0.5000) x3
O (0.0000, 0.0000, 0.0000) x3
O (0.0000, 0.0000, 0.1291) x6
O (0.0000, 0.0000, 0.2812) x6
O (0.0000, 0.0000, 0.4151) x6

***

One value per record, in order, for uncorrected energy: -6.309; -3.171; -6.437; -5.135; -4.075; -4.933; -4.017; -8.827 eV per atom.